No. 1
A plane-wave DFT calculation with PBE was carried out for GaSn2Pd8 after structural relaxation.

abc: 14.8260 4.5616 5.9028
angles: 90.00 113.28 90.00
Last column: nearest neighbours and their distance in Å.
Space group C2/m (No. 12)
Symmetry-distinct sites (fractional):
Ga (0.0000, 0.0000, 0.0000) (multiplicity 2)  8 Pd 2.48-2.72
Sn (0.1781, 0.5000, 0.6777) (multiplicity 4)  12 Pd 2.73-3.02
Pd (0.9998, 0.5000, 0.2516) (multiplicity 4)  2 Ga 2.72, 8 Pd 2.82-3.01, 2 Sn 2.83-2.84
Pd (0.1444, 0.0000, 0.4016) (multiplicity 4)  1 Ga 2.49, 2 Sn 2.73, 2 Pd 2.77
Pd (0.1449, 0.0000, 0.8883) (multiplicity 4)  1 Ga 2.48, 2 Sn 2.73, 2 Pd 2.77
Pd (0.1762, 0.5000, 0.1765) (multiplicity 4)  8 Pd 2.77-2.84, 4 Sn 2.95-3.02

Values from the calculation:
Its total moment is 0.0 μB per formula unit. The formation energy comes out at -497 kJ/mol of formula units. The value obtained for the raw total energy is -5.248 eV/atom. Its polymorph energy (0 for the lowest one) is 8 meV per atom.


No. 2
A plane-wave DFT calculation with PBE was carried out for CdCoAu2 after structural relaxation.

abc: 2.9396 2.9396 27.6123
angles: 90.00 90.00 120.00
Last column: nearest neighbours and their distance in Å.
Space group R-3m (No. 166, hexagonal axes)
Symmetry-distinct sites (fractional):
Cd (0.0000, 0.0000, 0.0000) (multiplicity 3)  6 Cd 2.94, 6 Au 3.04
Co (0.0000, 0.0000, 0.5000) (multiplicity 3)  6 Au 2.69, 6 Co 2.94
Au (0.0000, 0.0000, 0.2421) (multiplicity 6)  3 Co 2.69, 6 Au 2.94

Values from the calculation:
Its total moment is 1.9 μB per formula unit. The formation energy comes out at 58 kJ/mol of formula units. The value obtained for the raw total energy is -3.493 eV/atom.


No. 3
A plane-wave DFT calculation with PBE was carried out for AlB3Os after structural relaxation.

abc: 4.1529 4.1529 4.1529
angles: 90.00 90.00 90.00
Last column: nearest neighbours and their distance in Å.
Space group Pm-3m (No. 221)
Symmetry-distinct sites (fractional):
Al (0.0000, 0.0000, 0.0000) (multiplicity 1)  12 B 2.94
B (0.0000, 0.5000, 0.5000) (multiplicity 3)  2 Os 2.08
Os (0.5000, 0.5000, 0.5000) (multiplicity 1)  6 B 2.08

Values from the calculation:
Its total moment is 0.0 μB per formula unit. The formation energy comes out at 452 kJ/mol of formula units. The value obtained for the raw total energy is -6.063 eV/atom. Its polymorph energy (0 for the lowest one) is 0 meV per atom.


No. 4
A plane-wave DFT calculation with PBE was carried out for Na2LiTe2 after structural relaxation.

abc: 4.7619 4.7619 14.1362
angles: 90.00 90.00 90.00
Last column: nearest neighbours and their distance in Å.
Space group I4/mmm (No. 139)
Symmetry-distinct sites (fractional):
Na (0.0000, 0.5000, 0.2500) (multiplicity 4)  4 Te 3.08, 4 Na 3.37
Li (0.0000, 0.0000, 0.0000) (multiplicity 2)  8 Te 3.72
Te (0.0000, 0.0000, 0.3885) (multiplicity 4)  4 Na 3.08, 1 Te 3.15

Values from the calculation:
Its total moment is 0.6 μB per formula unit. The value obtained for the raw total energy is -2.674 eV/atom. Its polymorph energy (0 for the lowest one) is 289 meV per atom. Its raw formation energy is -0.51 eV per atom.